Entry 1:
# Na3Sn2Pd2

A geometry-optimized Na3Sn2Pd2 structure (PBE-GGA, Alexandria via LeMat-Bulk).

Structure (CIF):
```
data_Na3Sn2Pd2
_cell_length_a 8.2921
_cell_length_b 4.8338
_cell_length_c 8.0195
_cell_angle_alpha 90.00
_cell_angle_beta 110.62
_cell_angle_gamma 90.00
_space_group_name_H-M_alt 'C 1 2/m 1'
_space_group_IT_number 12
loop_
_space_group_symop_operation_xyz
'x,y,z'
'-x,-y,-z'
'-x,y,-z'
'x,-y,z'
'x+1/2,y+1/2,z'
'-x+1/2,-y+1/2,-z'
'-x+1/2,y+1/2,-z'
'x+1/2,-y+1/2,z'
loop_
_atom_site_label
_atom_site_fract_x
_atom_site_fract_y
_atom_site_fract_z
Na1 0.0000 0.0000 0.0000
Na2 0.1418 0.0000 0.4237
Sn1 0.0973 0.5000 0.7927
Pd1 0.2212 0.5000 0.1624
```

=====

Entry 2:
# NaSnPd

A geometry-optimized NaSnPd structure (PBE-GGA, Alexandria via LeMat-Bulk).

Structure (CIF):
```
data_NaSnPd
_cell_length_a 4.7750
_cell_length_b 4.7750
_cell_length_c 3.1562
_cell_angle_alpha 90.00
_cell_angle_beta 90.00
_cell_angle_gamma 120.00
_space_group_name_H-M_alt 'P -6 m 2'
_space_group_IT_number 187
_space_group_name_Hall 'P -6 2'
loop_
_atom_site_label
_atom_site_fract_x
_atom_site_fract_y
_atom_site_fract_z
Na1 0.0000 0.0000 0.0000
Sn1 0.6667 0.3333 0.5000
Pd1 0.3333 0.6667 0.5000
```

=====

Entry 3:
# Na2Sn3Pd

A geometry-optimized Na2Sn3Pd structure (PBE-GGA, Alexandria via LeMat-Bulk).

Structure (CIF):
```
data_Na2Sn3Pd
_cell_length_a 4.7187
_cell_length_b 5.2492
_cell_length_c 13.7451
_cell_angle_alpha 90.00
_cell_angle_beta 90.00
_cell_angle_gamma 90.00
_space_group_name_H-M_alt 'I m m m'
_space_group_IT_number 71
_space_group_name_Hall '-I 2 2'
loop_
_atom_site_label
_atom_site_fract_x
_atom_site_fract_y
_atom_site_fract_z
Na1 0.0000 0.0000 0.2391
Sn1 0.0000 0.5000 0.1056
Sn2 0.0000 0.5000 0.5000
Pd1 0.0000 0.0000 0.5000
```

=====

Entry 4:
# NaSn2Pd2 | Alexandria via LeMat-Bulk | PBE-GGA | optimized geometry
# - E above lowest polymorph (meV/atom) = 0
data_NaSn2Pd2
_cell_length_a 7.9669
_cell_length_b 7.9669
_cell_length_c 3.2071
_cell_angle_alpha 90.00
_cell_angle_beta 90.00
_cell_angle_gamma 90.00
_space_group_name_H-M_alt 'P 4/m b m'
_space_group_IT_number 127
_space_group_name_Hall '-P 4 2ab'
loop_
_atom_site_label
_atom_site_fract_x
_atom_site_fract_y
_atom_site_fract_z
Na1 0.0000 0.0000 0.0000
Sn1 0.1578 0.3422 0.5000
Pd1 0.1366 0.6366 0.0000

=====

Entry 5:
# NaSn3Pd | Alexandria via LeMat-Bulk | PBE-GGA | optimized geometry
# - E above lowest polymorph (meV/atom) = 0
data_NaSn3Pd
_cell_length_a 6.4115
_cell_length_b 6.3062
_cell_length_c 6.3508
_cell_angle_alpha 90.00
_cell_angle_beta 90.00
_cell_angle_gamma 90.00
_space_group_name_H-M_alt 'P m n 21'
_space_group_IT_number 31
loop_
_space_group_symop_operation_xyz
'x,y,z'
'-x+1/2,-y,z+1/2'
'-x,y,z'
'x+1/2,-y,z+1/2'
loop_
_atom_site_label
_atom_site_fract_x
_atom_site_fract_y
_atom_site_fract_z
Na1 0.0000 0.2267 0.0000
Sn1 0.0000 0.8775 0.6149
Sn2 0.2494 0.7166 0.0061
Pd1 0.0000 0.5763 0.3212

=====

Entry 6:
# NaSn2Pd4 | Alexandria via LeMat-Bulk | PBE-GGA | optimized geometry
# - E above lowest polymorph (meV/atom) = 80
data_NaSn2Pd4
_cell_length_a 3.9408
_cell_length_b 3.9408
_cell_length_c 19.5741
_cell_angle_alpha 90.00
_cell_angle_beta 90.00
_cell_angle_gamma 90.00
_space_group_name_H-M_alt 'I 4/m m m'
_space_group_IT_number 139
_space_group_name_Hall '-I 4 2'
loop_
_atom_site_label
_atom_site_fract_x
_atom_site_fract_y
_atom_site_fract_z
Na1 0.0000 0.0000 0.0000
Sn1 0.0000 0.0000 0.3544
Pd1 0.0000 0.0000 0.1426
Pd2 0.0000 0.5000 0.2500

=====

Entry 7:
# NaSn2Pd2 | Alexandria via LeMat-Bulk | PBE-GGA | optimized geometry
# - E above lowest polymorph (meV/atom) = 95
data_NaSn2Pd2
_cell_length_a 5.9407
_cell_length_b 4.5707
_cell_length_c 7.5945
_cell_angle_alpha 90.00
_cell_angle_beta 90.00
_cell_angle_gamma 90.00
_space_group_name_H-M_alt 'P m m a'
_space_group_IT_number 51
loop_
_space_group_symop_operation_xyz
'x,y,z'
'-x,-y,-z'
'-x+1/2,-y,z'
'x+1/2,y,-z'
'x+1/2,-y,-z'
'-x+1/2,y,z'
'-x,y,-z'
'x,-y,z'
loop_
_atom_site_label
_atom_site_fract_x
_atom_site_fract_y
_atom_site_fract_z
Na1 0.0000 0.0000 0.0000
Sn1 0.2500 0.0000 0.3917
Sn2 0.2500 0.5000 0.8035
Pd1 0.0000 0.5000 0.5000
Pd2 0.2500 0.5000 0.1699

=====

Entry 8:
# Na3Sn2Pd5

A geometry-optimized Na3Sn2Pd5 structure (PBE-GGA, Alexandria via LeMat-Bulk).

Structure (CIF):
```
data_Na3Sn2Pd5
_cell_length_a 12.3650
_cell_length_b 12.4956
_cell_length_c 5.6856
_cell_angle_alpha 90.00
_cell_angle_beta 90.00
_cell_angle_gamma 90.00
_space_group_name_H-M_alt 'I b a m'
_space_group_IT_number 72
_space_group_name_Hall '-I 2 2c'
loop_
_atom_site_label
_atom_site_fract_x
_atom_site_fract_y
_atom_site_fract_z
Na1 0.0000 0.0000 0.2500
Na2 0.2071 0.4125 0.0000
Sn1 0.1618 0.1681 0.0000
Pd1 0.0000 0.2452 0.2500
Pd2 0.0000 0.5000 0.2500
Pd3 0.1371 0.3686 0.5000
```

=====

Entry 9:
# NaSn2Pd

A geometry-optimized NaSn2Pd structure (PBE-GGA, Alexandria via LeMat-Bulk).

Structure (CIF):
```
data_NaSn2Pd
_cell_length_a 16.7069
_cell_length_b 7.6226
_cell_length_c 5.8415
_cell_angle_alpha 90.00
_cell_angle_beta 90.00
_cell_angle_gamma 90.00
_space_group_name_H-M_alt 'P n m a'
_space_group_IT_number 62
loop_
_space_group_symop_operation_xyz
'x,y,z'
'-x,-y,-z'
'-x+1/2,-y,z+1/2'
'x+1/2,y,-z+1/2'
'x+1/2,-y+1/2,-z+1/2'
'-x+1/2,y+1/2,z+1/2'
'-x,y+1/2,-z'
'x,-y+1/2,z'
loop_
_atom_site_label
_atom_site_fract_x
_atom_site_fract_y
_atom_site_fract_z
Na1 0.1100 0.2500 0.2479
Na2 0.1417 0.7500 0.0247
Sn1 0.0334 0.0471 0.7524
Sn2 0.2137 0.5487 0.5188
Pd1 0.0740 0.7500 0.5067
Pd2 0.1726 0.2500 0.7663
```

=====

Entry 10:
# NaSnPd3 | Alexandria via LeMat-Bulk | PBE-GGA | optimized geometry
# - E above lowest polymorph (meV/atom) = 0
data_NaSnPd3
_cell_length_a 5.7543
_cell_length_b 13.1984
_cell_length_c 5.1426
_cell_angle_alpha 90.00
_cell_angle_beta 90.00
_cell_angle_gamma 90.00
_space_group_name_H-M_alt 'C m c m'
_space_group_IT_number 63
_space_group_name_Hall '-C 2c 2'
loop_
_atom_site_label
_atom_site_fract_x
_atom_site_fract_y
_atom_site_fract_z
Na1 0.0000 0.0702 0.2500
Sn1 0.0000 0.3220 0.7500
Pd1 0.0000 0.5000 0.0000
Pd2 0.2356 0.3371 0.2500

=====

Entry 11:
# Na4Sn3Pd2

A geometry-optimized Na4Sn3Pd2 structure (PBE-GGA, Alexandria via LeMat-Bulk).

Structure (CIF):
```
data_Na4Sn3Pd2
_cell_length_a 15.3347
_cell_length_b 4.2425
_cell_length_c 7.6426
_cell_angle_alpha 90.00
_cell_angle_beta 112.12
_cell_angle_gamma 90.00
_space_group_name_H-M_alt 'C 1 2/m 1'
_space_group_IT_number 12
loop_
_space_group_symop_operation_xyz
'x,y,z'
'-x,-y,-z'
'-x,y,-z'
'x,-y,z'
'x+1/2,y+1/2,z'
'-x+1/2,-y+1/2,-z'
'-x+1/2,y+1/2,-z'
'x+1/2,-y+1/2,z'
loop_
_atom_site_label
_atom_site_fract_x
_atom_site_fract_y
_atom_site_fract_z
Na1 0.1146 0.0000 0.3718
Na2 0.2310 0.5000 0.1500
Sn1 0.0000 0.5000 0.0000
Sn2 0.0905 0.5000 0.6781
Pd1 0.0787 0.0000 0.9022
```

=====

Entry 12:
# NaSnPd3 | Alexandria via LeMat-Bulk | PBE-GGA | optimized geometry
# - E above lowest polymorph (meV/atom) = 515
data_NaSnPd3
_cell_length_a 5.0189
_cell_length_b 5.0189
_cell_length_c 5.0189
_cell_angle_alpha 90.00
_cell_angle_beta 90.00
_cell_angle_gamma 90.00
_space_group_name_H-M_alt 'P m -3 m'
_space_group_IT_number 221
_space_group_name_Hall '-P 4 2 3'
loop_
_atom_site_label
_atom_site_fract_x
_atom_site_fract_y
_atom_site_fract_z
Na1 0.0000 0.0000 0.0000
Sn1 0.5000 0.5000 0.5000
Pd1 0.0000 0.5000 0.5000

=====

Entry 13:
# Na2Sn3Pd5

A geometry-optimized Na2Sn3Pd5 structure (PBE-GGA, Alexandria via LeMat-Bulk).

Structure (CIF):
```
data_Na2Sn3Pd5
_cell_length_a 10.0909
_cell_length_b 12.9366
_cell_length_c 5.8343
_cell_angle_alpha 90.00
_cell_angle_beta 95.54
_cell_angle_gamma 90.00
_space_group_name_H-M_alt 'C 1 2/c 1'
_space_group_IT_number 15
loop_
_space_group_symop_operation_xyz
'x,y,z'
'-x,-y,-z'
'-x,y,-z+1/2'
'x,-y,z+1/2'
'x+1/2,y+1/2,z'
'-x+1/2,-y+1/2,-z'
'-x+1/2,y+1/2,-z+1/2'
'x+1/2,-y+1/2,z+1/2'
loop_
_atom_site_label
_atom_site_fract_x
_atom_site_fract_y
_atom_site_fract_z
Na1 0.1234 0.2364 0.1020
Sn1 0.0000 0.4619 0.2500
Sn2 0.1474 0.1339 0.5948
Pd1 0.0000 0.0259 0.2500
Pd2 0.1161 0.3425 0.6203
Pd3 0.2301 0.4586 0.0203
```

=====

Entry 14:
# Na2Sn4Pd3

A geometry-optimized Na2Sn4Pd3 structure (PBE-GGA, Alexandria via LeMat-Bulk).

Structure (CIF):
```
data_Na2Sn4Pd3
_cell_length_a 5.8250
_cell_length_b 10.0601
_cell_length_c 13.6851
_cell_angle_alpha 90.00
_cell_angle_beta 90.00
_cell_angle_gamma 90.00
_space_group_name_H-M_alt 'F m m m'
_space_group_IT_number 69
_space_group_name_Hall '-F 2 2'
loop_
_atom_site_label
_atom_site_fract_x
_atom_site_fract_y
_atom_site_fract_z
Na1 0.0000 0.0000 0.1133
Sn1 0.0000 0.1655 0.3409
Pd1 0.0000 0.0000 0.5000
Pd2 0.2500 0.2500 0.0000
```

=====

Entry 15:
# NaSnPd3 | Alexandria via LeMat-Bulk | PBE-GGA | optimized geometry
# - E above lowest polymorph (meV/atom) = 963
data_NaSnPd3
_cell_length_a 4.6453
_cell_length_b 4.6453
_cell_length_c 4.6453
_cell_angle_alpha 90.00
_cell_angle_beta 90.00
_cell_angle_gamma 90.00
_space_group_name_H-M_alt 'P m -3 m'
_space_group_IT_number 221
_space_group_name_Hall '-P 4 2 3'
loop_
_atom_site_label
_atom_site_fract_x
_atom_site_fract_y
_atom_site_fract_z
Na1 0.0000 0.0000 0.0000
Sn1 0.5000 0.5000 0.5000
Pd1 0.0000 0.0000 0.5000

=====

Entry 16:
# NaSn2Pd2 | Alexandria via LeMat-Bulk | PBE-GGA | optimized geometry
# - E above lowest polymorph (meV/atom) = 23
data_NaSn2Pd2
_cell_length_a 5.4079
_cell_length_b 6.2679
_cell_length_c 7.2843
_cell_angle_alpha 79.04
_cell_angle_beta 77.47
_cell_angle_gamma 65.25
_space_group_name_H-M_alt 'P -1'
_space_group_IT_number 2
loop_
_space_group_symop_operation_xyz
'x,y,z'
'-x,-y,-z'
loop_
_atom_site_label
_atom_site_fract_x
_atom_site_fract_y
_atom_site_fract_z
Na1 0.0359 0.3765 0.2609
Sn1 0.3081 0.8943 0.9831
Sn2 0.4699 0.7799 0.4472
Pd1 0.0502 0.0828 0.6684
Pd2 0.4909 0.4868 0.2040

=====

Entry 17:
# NaSn5Pd

A geometry-optimized NaSn5Pd structure (PBE-GGA, Alexandria via LeMat-Bulk).

Structure (CIF):
```
data_NaSn5Pd
_cell_length_a 4.7255
_cell_length_b 4.7255
_cell_length_c 7.9444
_cell_angle_alpha 90.00
_cell_angle_beta 90.00
_cell_angle_gamma 90.00
_space_group_name_H-M_alt 'P 4/m m m'
_space_group_IT_number 123
_space_group_name_Hall '-P 4 2'
loop_
_atom_site_label
_atom_site_fract_x
_atom_site_fract_y
_atom_site_fract_z
Na1 0.0000 0.0000 0.0000
Sn1 0.0000 0.5000 0.2986
Sn2 0.5000 0.5000 0.0000
Pd1 0.0000 0.0000 0.5000
```

=====

Entry 18:
# NaSnPd4 | Alexandria via LeMat-Bulk | PBE-GGA | optimized geometry
# - E above lowest polymorph (meV/atom) = 4
data_NaSnPd4
_cell_length_a 8.0304
_cell_length_b 3.9983
_cell_length_c 6.9928
_cell_angle_alpha 90.00
_cell_angle_beta 90.00
_cell_angle_gamma 90.00
_space_group_name_H-M_alt 'P m m a'
_space_group_IT_number 51
loop_
_space_group_symop_operation_xyz
'x,y,z'
'-x,-y,-z'
'-x+1/2,-y,z'
'x+1/2,y,-z'
'x+1/2,-y,-z'
'-x+1/2,y,z'
'-x,y,-z'
'x,-y,z'
loop_
_atom_site_label
_atom_site_fract_x
_atom_site_fract_y
_atom_site_fract_z
Na1 0.2500 0.0000 0.1676
Sn1 0.2500 0.0000 0.7448
Pd1 0.0000 0.0000 0.5000
Pd2 0.0364 0.5000 0.8038
Pd3 0.2500 0.5000 0.4656

=====

Entry 19:
# Na2SnPd6

A geometry-optimized Na2SnPd6 structure (PBE-GGA, Alexandria via LeMat-Bulk).

Structure (CIF):
```
data_Na2SnPd6
_cell_length_a 7.9244
_cell_length_b 7.9244
_cell_length_c 2.8442
_cell_angle_alpha 90.00
_cell_angle_beta 90.00
_cell_angle_gamma 120.00
_space_group_name_H-M_alt 'P -3 1 m'
_space_group_IT_number 162
_space_group_name_Hall '-P 3 2'
loop_
_atom_site_label
_atom_site_fract_x
_atom_site_fract_y
_atom_site_fract_z
Na1 0.3333 0.6667 0.0000
Sn1 0.0000 0.0000 0.5000
Pd1 0.0000 0.3293 0.2702
```

=====

Entry 20:
# NaSn2Pd7

A geometry-optimized NaSn2Pd7 structure (PBE-GGA, Alexandria via LeMat-Bulk).

Structure (CIF):
```
data_NaSn2Pd7
_cell_length_a 7.3339
_cell_length_b 13.4225
_cell_length_c 4.3957
_cell_angle_alpha 90.00
_cell_angle_beta 90.00
_cell_angle_gamma 90.00
_space_group_name_H-M_alt 'C m m m'
_space_group_IT_number 65
_space_group_name_Hall '-C 2 2'
loop_
_atom_site_label
_atom_site_fract_x
_atom_site_fract_y
_atom_site_fract_z
Na1 0.0000 0.0000 0.0000
Sn1 0.0000 0.3000 0.5000
Pd1 0.0000 0.1969 0.0000
Pd2 0.0000 0.5000 0.5000
Pd3 0.1846 0.1098 0.5000
```

=====

Entry 21:
# NaSn2Pd5

A geometry-optimized NaSn2Pd5 structure (PBE-GGA, Alexandria via LeMat-Bulk).

Structure (CIF):
```
data_NaSn2Pd5
_cell_length_a 3.8683
_cell_length_b 7.5595
_cell_length_c 10.6951
_cell_angle_alpha 90.00
_cell_angle_beta 90.00
_cell_angle_gamma 90.00
_space_group_name_H-M_alt 'I m m m'
_space_group_IT_number 71
_space_group_name_Hall '-I 2 2'
loop_
_atom_site_label
_atom_site_fract_x
_atom_site_fract_y
_atom_site_fract_z
Na1 0.0000 0.0000 0.0000
Sn1 0.0000 0.5000 0.2504
Pd1 0.0000 0.1947 0.3648
Pd2 0.0000 0.5000 0.0000
```

=====

Entry 22:
# NaSnPd4 | Alexandria via LeMat-Bulk | PBE-GGA | optimized geometry
# - E above lowest polymorph (meV/atom) = 0
data_NaSnPd4
_cell_length_a 7.5829
_cell_length_b 7.5829
_cell_length_c 7.5829
_cell_angle_alpha 90.00
_cell_angle_beta 90.00
_cell_angle_gamma 90.00
_space_group_name_H-M_alt 'F -4 3 m'
_space_group_IT_number 216
_space_group_name_Hall 'F -4 2 3'
loop_
_atom_site_label
_atom_site_fract_x
_atom_site_fract_y
_atom_site_fract_z
Na1 0.0000 0.0000 0.0000
Sn1 0.2500 0.2500 0.7500
Pd1 0.1247 0.1247 0.3753

=====

| no. | energy of formation from the pure elements (eV per formula unit) | total magnetization (μB per formula unit) |
| --- | --- | --- |
| 1 | -2.53 | 0.0 |
| 2 | -0.89 | 0.0 |
| 3 | -0.90 | 0.0 |
| 4 | -2.12 | 0.0 |
| 5 | -1.30 | 0.0 |
| 6 | -2.46 | 0.0 |
| 7 | -1.64 | 0.0 |
| 8 | -1.29 | 0.0 |
| 9 | -1.51 | 0.0 |
| 10 | -1.70 | 0.0 |
| 11 | -2.69 | 0.0 |
| 12 | 0.88 | 0.0 |
| 13 | -4.08 | 0.0 |
| 14 | -3.47 | 0.0 |
| 15 | 3.11 | 0.0 |
| 16 | -2.00 | 0.0 |
| 17 | -1.45 | 0.0 |
| 18 | -1.33 | 0.0 |
| 19 | -0.97 | 0.0 |
| 20 | 0.23 | 0.0 |
| 21 | -2.99 | 0.0 |
| 22 | -1.35 | 0.0 |